(1)
Entry from Alexandria: a crystal of ZrFeAs4 relaxed with PBEsol (SCAN).

```
data_ZrFeAs4
_cell_length_a 5.362
_cell_length_b 5.362
_cell_length_c 5.362
_cell_angle_alpha 60.00
_cell_angle_beta 60.00
_cell_angle_gamma 60.00
_space_group_name_H-M_alt 'P 1'
_space_group_IT_number 1
loop_
_space_group_symop_operation_xyz
'x,y,z'
loop_
_atom_site_label
_atom_site_type_symbol
_atom_site_fract_x
_atom_site_fract_y
_atom_site_fract_z
As1 As 0.375 0.375 0.375
As2 As 0.874 0.375 0.375
As3 As 0.375 0.874 0.375
As4 As 0.375 0.375 0.874
Fe1 Fe 0.750 0.750 0.750
Zr1 Zr 0.000 0.000 0.000
```

Summary:
The energy relative to the elements comes out at 0.31 eV per atom. Its density is 6.807 g/cm3. The calculation puts the density of states at the Fermi level at 3.59 states/eV per cell. For the raw total energy, the calculation gives -21.2839 eV per atom.

***

(2)
Entry from Alexandria: a crystal of MnI2Cl relaxed with PBEsol (SCAN).

```
data_MnI2Cl
_cell_length_a 7.532
_cell_length_b 7.532
_cell_length_c 7.532
_cell_angle_alpha 143.31
_cell_angle_beta 95.68
_cell_angle_gamma 95.68
_space_group_name_H-M_alt 'P 1'
_space_group_IT_number 1
loop_
_space_group_symop_operation_xyz
'x,y,z'
loop_
_atom_site_label
_atom_site_type_symbol
_atom_site_fract_x
_atom_site_fract_y
_atom_site_fract_z
I1 I 0.649 0.774 0.625
I2 I 0.149 0.375 0.024
Cl1 Cl 0.500 0.250 0.750
I3 I 0.851 0.875 0.226
I4 I 0.351 0.976 0.125
Cl2 Cl 0.000 0.500 0.500
Mn1 Mn 0.500 0.750 0.250
Mn2 Mn 0.000 0.000 0.000
```

Summary:
Its density is 4.718 g/cm3. The calculation puts the density of states at the Fermi level at 5.36 states/eV per cell. For the raw total energy, the calculation gives -25.4776 eV per atom.

***

(3)
Entry from Alexandria: a crystal of IrOsW2 relaxed with PBEsol (SCAN).

```
data_IrOsW2
_cell_length_a 3.873
_cell_length_b 3.873
_cell_length_c 4.810
_cell_angle_alpha 113.74
_cell_angle_beta 113.74
_cell_angle_gamma 90.00
_space_group_name_H-M_alt 'P 1'
_space_group_IT_number 1
loop_
_space_group_symop_operation_xyz
'x,y,z'
loop_
_atom_site_label
_atom_site_type_symbol
_atom_site_fract_x
_atom_site_fract_y
_atom_site_fract_z
W1 W 0.750 0.250 0.500
W2 W 0.500 0.500 0.000
Ir1 Ir 0.000 0.000 0.000
Os1 Os 0.250 0.750 0.500
```

Summary:
The energy relative to the elements comes out at -0.06 eV per atom. Its density is 21.002 g/cm3. The calculation puts the density of states at the Fermi level at 2.25 states/eV per cell. For the raw total energy, the calculation gives -70.6509 eV per atom. The energy above the most stable polymorph in this dataset is 2.24 kcal/mol of atoms.

***

(4)
Entry from Alexandria: a crystal of Zn2OsRh relaxed with PBEsol (SCAN).

```
data_Zn2OsRh
_cell_length_a 2.637
_cell_length_b 4.871
_cell_length_c 5.032
_cell_angle_alpha 117.82
_cell_angle_beta 103.31
_cell_angle_gamma 93.78
_space_group_name_H-M_alt 'P 1'
_space_group_IT_number 1
loop_
_space_group_symop_operation_xyz
'x,y,z'
loop_
_atom_site_label
_atom_site_type_symbol
_atom_site_fract_x
_atom_site_fract_y
_atom_site_fract_z
Zn1 Zn 0.500 0.500 0.500
Zn2 Zn 0.000 0.000 0.500
Os1 Os 0.500 0.000 0.000
Rh1 Rh 0.000 0.500 0.000
```

Summary:
The energy relative to the elements comes out at 0.05 eV per atom. Its density is 12.920 g/cm3. The calculation puts the density of states at the Fermi level at 2.18 states/eV per cell. For the raw total energy, the calculation gives -33.1254 eV per atom. The energy above the most stable polymorph in this dataset is 0.00 kcal/mol of atoms.